No. 1
# PBE Ac2CuCO6, relaxed
# DFT total energy   -7.101 eV/atom
# Raw formation energy   -1973 meV per atom
data_Ac2CuCO6
_cell_length_a 7.149
_cell_length_b 5.133
_cell_length_c 11.144
_cell_angle_alpha 90.00
_cell_angle_beta 126.28
_cell_angle_gamma 90.00
_symmetry_space_group_name_H-M 'P 1 21/c 1'
_symmetry_Int_Tables_number 14
loop_
_symmetry_equiv_pos_as_xyz
'x,y,z'
'-x,-y,-z'
'-x,y+1/2,-z+1/2'
'x,-y+1/2,z+1/2'
loop_
_atom_site_label
_atom_site_type_symbol
_atom_site_fract_x
_atom_site_fract_y
_atom_site_fract_z
_atom_site_occupancy
Ac1 Ac 0.164 0.011 0.215 1
Cu1 Cu 0.000 0.000 0.500 1
C1 C 0.500 0.000 0.000 1
O1 O 0.104 0.522 0.214 1
O2 O 0.167 0.683 0.522 1
O3 O 0.450 0.213 0.011 1

No. 2
# PBE Cr2Ag, relaxed
# DFT total energy   -6.532 eV/atom
# N(E_F)   1.190 states/eV per atom
# Energy of formation from the pure elements   80.51 kJ per mole of atoms
data_Cr2Ag
_cell_length_a 2.698
_cell_length_b 4.189
_cell_length_c 15.516
_cell_angle_alpha 90.00
_cell_angle_beta 90.00
_cell_angle_gamma 90.00
_symmetry_space_group_name_H-M 'I m m a'
_symmetry_Int_Tables_number 74
_symmetry_space_group_name_Hall '-I 2b 2'
loop_
_atom_site_label
_atom_site_type_symbol
_atom_site_fract_x
_atom_site_fract_y
_atom_site_fract_z
_atom_site_occupancy
Cr1 Cr 0.000 0.250 0.032 1
Cr2 Cr 0.000 0.250 0.199 1
Ag1 Ag 0.000 0.250 0.628 1

No. 3
# PBE NaNpSnBr6, relaxed
# DFT total energy   -4.312 eV/atom
# Raw formation energy   -1168 meV per atom
# N(E_F)   0.553 states/eV per atom
data_NaNpSnBr6
_cell_length_a 7.3910
_cell_length_b 7.3910
_cell_length_c 13.3171
_cell_angle_alpha 90.00
_cell_angle_beta 90.00
_cell_angle_gamma 120.00
_symmetry_space_group_name_H-M 'P -3 1 c'
_symmetry_Int_Tables_number 163
_symmetry_space_group_name_Hall '-P 3 2c'
loop_
_atom_site_label
_atom_site_type_symbol
_atom_site_fract_x
_atom_site_fract_y
_atom_site_fract_z
_atom_site_occupancy
Na1 Na 0.3333 0.6667 0.2500 1
Np1 Np 0.3333 0.6667 0.7500 1
Sn1 Sn 0.0000 0.0000 0.0000 1
Br1 Br 0.0115 0.3475 0.6251 1

No. 4
# PBE K2BeHg, relaxed
# DFT total energy   -1.298 eV/atom
# N(E_F)   0.904 states/eV per atom
# Energy of formation from the pure elements   24.86 kJ per mole of atoms
data_K2BeHg
_cell_length_a 12.541
_cell_length_b 12.541
_cell_length_c 4.605
_cell_angle_alpha 90.00
_cell_angle_beta 90.00
_cell_angle_gamma 90.00
_symmetry_space_group_name_H-M 'I -4 2 d'
_symmetry_Int_Tables_number 122
_symmetry_space_group_name_Hall 'I -4 2bw'
loop_
_atom_site_label
_atom_site_type_symbol
_atom_site_fract_x
_atom_site_fract_y
_atom_site_fract_z
_atom_site_occupancy
K1 K 0.064 0.250 0.125 1
Be1 Be 0.000 0.000 0.000 1
Hg1 Hg 0.000 0.000 0.500 1

No. 5
# PBE Hf7MgIn4, relaxed
# DFT total energy   -6.578 eV/atom
# N(E_F)   1.212 states/eV per atom
# Energy of formation from the pure elements   26.41 kJ per mole of atoms
data_Hf7MgIn4
_cell_length_a 10.979
_cell_length_b 5.384
_cell_length_c 11.093
_cell_angle_alpha 90.00
_cell_angle_beta 119.54
_cell_angle_gamma 90.00
_symmetry_space_group_name_H-M 'C 1 2/m 1'
_symmetry_Int_Tables_number 12
loop_
_symmetry_equiv_pos_as_xyz
'x,y,z'
'-x,-y,-z'
'-x,y,-z'
'x,-y,z'
'x+1/2,y+1/2,z'
'-x+1/2,-y+1/2,-z'
'-x+1/2,y+1/2,-z'
'x+1/2,-y+1/2,z'
loop_
_atom_site_label
_atom_site_type_symbol
_atom_site_fract_x
_atom_site_fract_y
_atom_site_fract_z
_atom_site_occupancy
Hf1 Hf 0.000 0.000 0.000 1
Hf2 Hf 0.028 0.500 0.379 1
Hf3 Hf 0.149 0.000 0.549 1
Hf4 Hf 0.213 0.500 0.909 1
Mg1 Mg 0.000 0.500 0.000 1
In1 In 0.088 0.000 0.779 1
In2 In 0.216 0.000 0.318 1

No. 6
# PBE YAlV2Mo, relaxed
# DFT total energy   -7.252 eV/atom
# N(E_F)   1.503 states/eV per atom
# Energy of formation from the pure elements   58.21 kJ per mole of atoms
data_YAlV2Mo
_cell_length_a 4.583
_cell_length_b 4.583
_cell_length_c 4.940
_cell_angle_alpha 90.00
_cell_angle_beta 90.00
_cell_angle_gamma 90.00
_symmetry_space_group_name_H-M 'P 4/m m m'
_symmetry_Int_Tables_number 123
_symmetry_space_group_name_Hall '-P 4 2'
loop_
_atom_site_label
_atom_site_type_symbol
_atom_site_fract_x
_atom_site_fract_y
_atom_site_fract_z
_atom_site_occupancy
Y1 Y 0.000 0.000 0.000 1
Al1 Al 0.500 0.500 0.000 1
V1 V 0.000 0.500 0.500 1
Mo1 Mo 0.500 0.500 0.500 1

No. 7
# PBE SbTeAs2, relaxed
# DFT total energy   -3.859 eV/atom
# Raw formation energy   281 meV per atom
# N(E_F)   0.314 states/eV per atom
data_SbTeAs2
_cell_length_a 3.484
_cell_length_b 3.484
_cell_length_c 8.068
_cell_angle_alpha 90.00
_cell_angle_beta 90.00
_cell_angle_gamma 90.00
_symmetry_space_group_name_H-M 'P 4 m m'
_symmetry_Int_Tables_number 99
loop_
_symmetry_equiv_pos_as_xyz
'x,y,z'
'-y,x,z'
'-x,-y,z'
'y,-x,z'
'-x,y,z'
'y,x,z'
'x,-y,z'
'-y,-x,z'
loop_
_atom_site_label
_atom_site_type_symbol
_atom_site_fract_x
_atom_site_fract_y
_atom_site_fract_z
_atom_site_occupancy
Sb1 Sb 0.000 0.000 0.000 1
Te1 Te 0.500 0.500 0.283 1
As1 As 0.000 0.000 0.614 1
As2 As 0.500 0.500 0.756 1

No. 8
# PBE TiCuSe2, relaxed
# DFT total energy   -5.330 eV/atom
# Raw formation energy   -590 meV per atom
# N(E_F)   0.645 states/eV per atom
data_TiCuSe2
_cell_length_a 5.725
_cell_length_b 5.725
_cell_length_c 11.258
_cell_angle_alpha 90.00
_cell_angle_beta 90.00
_cell_angle_gamma 90.00
_symmetry_space_group_name_H-M 'I -4 2 d'
_symmetry_Int_Tables_number 122
_symmetry_space_group_name_Hall 'I -4 2bw'
loop_
_atom_site_label
_atom_site_type_symbol
_atom_site_fract_x
_atom_site_fract_y
_atom_site_fract_z
_atom_site_occupancy
Ti1 Ti 0.000 0.000 0.000 1
Cu1 Cu 0.000 0.000 0.500 1
Se1 Se 0.242 0.250 0.625 1